K4CeU3S12 | Alexandria | PBE | relaxed; size of the total moment = 2.15 μB/f.u.; ρ = 4.1 g/cm3; calculated total energy = -6.056 eV per atom; SG = Im-3m (229)
1.0
-3.903 6.538 -4.885
-6.254 -6.041 2.498
3.818 3.609 7.365
S K U Ce
12 4 3 1
Direct
0.742 0.000 0.742
0.000 0.258 0.258
0.258 0.000 0.258
0.750 0.250 0.500
0.250 0.500 0.750
0.750 0.500 0.250
0.500 0.750 0.250
0.742 0.742 0.000
0.250 0.750 0.500
0.000 0.742 0.742
0.258 0.258 0.000
0.500 0.250 0.750
0.000 0.500 0.000
0.500 0.500 0.500
0.000 0.000 0.500
0.500 0.000 0.000
0.000 0.500 0.500
0.500 0.500 0.000
0.500 0.000 0.500
0.000 0.000 0.000



K2Ce2US6 | Alexandria | PBE | relaxed; size of the total moment = 4.00 μB/f.u.; ρ = 4.0 g/cm3; calculated total energy = -6.248 eV per atom; SG = C2/m (12)
1.0
-6.881 -1.395 -1.265
3.623 -4.031 4.638
-0.871 6.434 4.424
U S K Ce
1 6 2 2
Direct
0.000 0.000 0.500
0.062 0.389 0.696
0.253 0.253 0.303
0.747 0.747 0.697
0.611 0.938 0.304
0.389 0.062 0.696
0.938 0.611 0.304
0.169 0.831 0.000
0.831 0.169 0.000
0.665 0.335 0.500
0.335 0.665 0.500



K4CeU3S8 | Alexandria | PBE | relaxed; size of the total moment = 10.01 μB/f.u.; ρ = 4.9 g/cm3; calculated total energy = -6.312 eV per atom; SG = R-3m (166)
1.0
-0.420 5.891 5.611
-5.859 -4.745 4.544
7.160 -3.488 -1.716
Ce S K U
1 8 4 3
Direct
0.000 0.500 0.000
0.734 0.702 0.468
0.729 0.706 0.967
0.761 0.294 0.033
0.266 0.298 0.532
0.239 0.706 0.967
0.271 0.294 0.033
0.761 0.294 0.523
0.239 0.706 0.477
0.500 0.000 0.000
0.500 0.000 0.500
0.000 0.000 0.500
0.000 0.000 0.000
0.500 0.500 0.500
0.000 0.500 0.500
0.500 0.500 0.000



KCe2US8 | Alexandria | PBE | relaxed; size of the total moment = 1.11 μB/f.u.; ρ = 4.6 g/cm3; calculated total energy = -6.125 eV per atom; SG = P-1 (2)
1.0
-3.079 -5.269 -3.421
4.324 -0.873 -2.558
4.634 -5.509 4.654
K Ce S U
1 2 8 1
Direct
0.000 0.000 0.500
0.526 0.340 0.807
0.474 0.660 0.193
0.474 0.203 0.500
0.741 0.171 0.148
0.077 0.626 0.256
0.526 0.797 0.500
0.923 0.374 0.744
0.313 0.205 0.095
0.687 0.795 0.905
0.259 0.829 0.852
0.000 0.000 0.000



K2Ce2VS6 | Alexandria | PBE | relaxed; size of the total moment = 3.03 μB/f.u.; ρ = 3.3 g/cm3; calculated total energy = -5.879 eV per atom; SG = C2/m (12)
1.0
6.745 0.024 0.063
-3.313 5.876 0.063
-1.221 -2.099 7.487
K Ce S V
2 2 6 1
Direct
0.170 0.830 0.000
0.830 0.170 0.000
0.666 0.334 0.500
0.334 0.666 0.500
0.374 0.065 0.692
0.065 0.374 0.692
0.762 0.762 0.691
0.238 0.238 0.309
0.626 0.935 0.308
0.935 0.626 0.308
0.000 0.000 0.500



KCeVS4 | Alexandria | PBE | relaxed; size of the total moment = 2.00 μB/f.u.; ρ = 3.3 g/cm3; calculated total energy = -6.048 eV per atom; SG = P2_1/m (11)
1.0
-6.408 1.820 0.057
-0.399 -1.599 6.256
4.787 7.099 2.119
Ce S K V
2 8 2 2
Direct
0.237 0.250 0.553
0.763 0.750 0.447
0.415 0.750 0.574
0.585 0.250 0.426
0.996 0.492 0.287
0.004 0.992 0.713
0.577 0.250 0.837
0.996 0.008 0.287
0.004 0.508 0.713
0.423 0.750 0.163
0.725 0.750 0.935
0.275 0.250 0.065
0.223 0.750 0.321
0.777 0.250 0.679



K3Ce2VS6 | Alexandria | PBE | relaxed; size of the total moment = 4.01 μB/f.u.; ρ = 3.5 g/cm3; calculated total energy = -5.610 eV per atom; SG = C2/m (12)
1.0
6.942 -0.002 -0.002
-3.471 6.012 -0.002
-1.160 -2.008 7.365
Ce S K V
2 6 3 1
Direct
0.666 0.334 0.000
0.334 0.666 0.000
0.623 0.934 0.802
0.934 0.623 0.802
0.244 0.244 0.802
0.756 0.756 0.198
0.377 0.066 0.198
0.066 0.377 0.198
0.832 0.168 0.500
0.500 0.500 0.500
0.168 0.832 0.500
0.000 0.000 0.000



KCe2YS4 | Alexandria | PBE | relaxed; size of the total moment = 2.40 μB/f.u.; ρ = 4.6 g/cm3; calculated total energy = -6.331 eV per atom; SG = P2/m (10)
1.0
-3.811 1.130 0.786
-2.179 -6.687 -0.957
0.270 -3.437 6.252
Y K Ce S
1 1 2 4
Direct
0.000 0.500 0.500
0.500 0.500 0.000
0.500 0.000 0.500
0.000 0.000 0.000
0.000 0.760 0.730
0.500 0.253 0.736
0.500 0.747 0.264
0.000 0.240 0.270



no.,Fermi-level density of states (states/eV per atom),E_form (uncorrected) (eV/atom)
1,0.667,-1.3697
2,1.547,-1.6919
3,1.055,-1.4868
4,0.791,-1.3527
5,0.763,-1.5199
6,0.967,-1.3821
7,0.614,-1.5230
8,1.555,-1.8390